1.
A relaxed BaSr2As crystal. Source: Alexandria via LeMat-Bulk, functional PBE.

It has space group Amm2 (No. 38), with a = 4.430 Å, b = 5.149 Å, c = 15.833 Å, α = 90.00°, β = 90.00° and γ = 90.00°. The inequivalent atoms are Ba at (0.000, 0.000, 0.000), Sr at (0.000, 0.000, 0.683), Sr at (0.500, 0.000, 0.343) and As at (0.500, 0.000, 0.540).

The energy of formation is -595 meV per atom.

***

2.
A relaxed Tb2PuCuO8 crystal. Source: Alexandria via LeMat-Bulk, functional PBE.

It has space group P-1 (No. 2), with a = 4.160 Å, b = 5.228 Å, c = 7.417 Å, α = 80.65°, β = 86.17° and γ = 80.54°. The inequivalent atoms are Tb at (0.026, 0.054, 0.228), Pu at (0.500, 0.500, 0.500), Cu at (0.500, 0.500, 0.000), O at (0.079, 0.728, 0.515), O at (0.150, 0.753, 0.041), O at (0.414, 0.219, 0.683) and O at (0.457, 0.308, 0.236).

For the uncorrected formation energy, the calculation gives -2771 kJ/mol of formula units.

***

3.
A relaxed Te3Pt crystal. Source: Alexandria via LeMat-Bulk, functional PBE.

It has space group Cmmm (No. 65), with a = 3.825 Å, b = 5.208 Å, c = 10.778 Å, α = 90.00°, β = 90.00° and γ = 90.00°. The inequivalent atoms are Te at (0.000, 0.000, 0.000), Te at (0.000, 0.500, 0.317) and Pt at (0.000, 0.000, 0.500).

For the uncorrected formation energy, the calculation gives 51 kJ/mol of formula units.

***

4.
A relaxed BC2 crystal. Source: Alexandria via LeMat-Bulk, functional PBE.

It has space group P2_1/m (No. 11), with a = 3.682 Å, b = 2.547 Å, c = 8.128 Å, α = 90.00°, β = 93.56° and γ = 90.00°. The inequivalent atoms are B at (0.121, 0.250, 0.459), B at (0.339, 0.250, 0.687), C at (0.104, 0.250, 0.846), C at (0.144, 0.250, 0.154), C at (0.376, 0.250, 0.000) and C at (0.382, 0.250, 0.318).

The energy above the lowest structure with this stoichiometry comes out at 0.102 eV per atom. The energy of formation is 342 meV per atom.

***

5.
A relaxed TcAsPb crystal. Source: Alexandria via LeMat-Bulk, functional PBE.

It has space group I4mm (No. 107), with a = 3.193 Å, b = 3.193 Å, c = 12.507 Å, α = 90.00°, β = 90.00° and γ = 90.00°. The inequivalent atoms are Tc at (0.000, 0.000, 0.000), As at (0.000, 0.000, 0.406) and Pb at (0.000, 0.000, 0.668).

The energy above the lowest structure with this stoichiometry comes out at 0.096 eV per atom. The energy of formation is 84 meV per atom.

***

6.
A relaxed DyAlTc crystal. Source: Alexandria via LeMat-Bulk, functional PBE.

It has space group Imma (No. 74), with a = 5.378 Å, b = 5.594 Å, c = 7.546 Å, α = 90.00°, β = 90.00° and γ = 90.00°. The inequivalent atoms are Dy at (0.000, 0.250, 0.116), Al at (0.000, 0.000, 0.500) and Tc at (0.250, 0.250, 0.750).

The energy above the lowest structure with this stoichiometry comes out at 0.000 eV per atom. The energy of formation is -431 meV per atom.